Record 1
{
  "formula": "PmThInGa",
  "functional": "PBE",
  "state": "relaxed",
  "lattice_angstrom": [[5.3558, 0.0000, 0.0000], [2.6779, 4.6383, 0.0000], [2.6779, 1.5461, 4.3730]],
  "species": ["Pm", "In", "Th", "Ga"],
  "fractional_positions": [[0.0000, 0.0000, 0.0000], [0.7500, 0.7500, 0.7500], [0.5000, 0.5000, 0.5000], [0.2500, 0.2500, 0.2500]],
  "crystal_system": "cubic",
  "dft_energy_ev_per_cell": -19.4,
  "spacegroup": "F-43m",
  "delta_e_f_ev_per_atom": -0.359,
  "magnetic_moment_mub_per_atom": 0.00
}

---

Record 2
{
  "formula": "Pm4TlIn2Ga",
  "functional": "PBE",
  "state": "relaxed",
  "lattice_angstrom": [[-1.0386, -1.0797, 5.1844], [2.5055, -4.0999, 2.4568], [6.9819, 3.6976, 4.9774]],
  "species": ["Pm", "Ga", "Pm", "Tl", "Pm", "Pm", "In", "In"],
  "fractional_positions": [[0.1285, 0.1285, 0.6145], [0.5000, 0.5000, 0.5000], [0.3790, 0.3790, 0.8629], [0.0000, 0.0000, 0.0000], [0.6210, 0.6210, 0.1371], [0.8715, 0.8715, 0.3855], [0.7476, 0.7476, 0.7573], [0.2524, 0.2524, 0.2427]],
  "crystal_system": "trigonal",
  "dft_energy_ev_per_cell": -33.7,
  "spacegroup": "R-3m",
  "delta_e_f_ev_per_atom": -0.473,
  "magnetic_moment_mub_per_atom": 0.00
}